# 1
{
  "formula": "RbSb5Se8",
  "functional": "PBE",
  "state": "relaxed",
  "lattice": [[-0.483, -1.889, -3.620], [-0.647, -9.086, 4.828], [-9.836, 4.347, 1.379]],
  "species": ["Se", "Se", "Se", "Se", "Se", "Se", "Se", "Se", "Sb", "Sb", "Sb", "Sb", "Sb", "Rb"],
  "fractional_positions": [[0.166, 0.497, 0.333], [0.576, 0.159, 0.152], [0.766, 0.843, 0.533], [0.424, 0.842, 0.848], [0.234, 0.157, 0.468], [0.834, 0.503, 0.667], [0.083, 0.813, 0.165], [0.917, 0.187, 0.834], [0.295, 0.657, 0.589], [0.000, 0.000, 0.000], [0.705, 0.343, 0.411], [0.656, 0.968, 0.312], [0.344, 0.032, 0.688], [0.500, 0.498, 0.000]],
  "crystal_system": "monoclinic",
  "vol_a3_per_atom": 31.28,
  "total_energy_ev_per_atom": -3.90,
  "spacegroup": "Cm (8)"
}


# 2
{
  "formula": "BeTlIn2",
  "functional": "PBE",
  "state": "relaxed",
  "lattice": [[-0.258, 4.281, -1.802], [-2.613, 3.791, 0.659], [3.509, 4.470, 4.246]],
  "species": ["Tl", "In", "In", "Be"],
  "fractional_positions": [[0.571, 0.571, 0.471], [0.944, 0.944, 0.122], [0.753, 0.753, 0.793], [0.231, 0.231, 0.113]],
  "de_polymorph_mev_per_atom": 14,
  "crystal_system": "monoclinic",
  "vol_a3_per_atom": 24.76,
  "total_energy_ev_per_atom": -2.59,
  "spacegroup": "Cm (8)"
}


# 3
{
  "formula": "RbBa2CaCd",
  "functional": "PBE",
  "state": "relaxed",
  "lattice": [[-4.040, 1.673, -5.248], [3.699, -3.998, -4.122], [-3.784, -4.895, 1.352]],
  "species": ["Ba", "Ba", "Cd", "Ca", "Rb"],
  "fractional_positions": [[0.500, 0.000, 0.000], [0.000, 0.500, 0.000], [0.000, 0.000, 0.000], [0.000, 0.000, 0.500], [0.500, 0.500, 0.500]],
  "crystal_system": "tetragonal",
  "vol_a3_per_atom": 59.10,
  "total_energy_ev_per_atom": -1.54,
  "spacegroup": "P4/mmm (123)"
}


# 4
{
  "formula": "TeMoRh2",
  "functional": "PBE",
  "state": "relaxed",
  "lattice": [[5.744, 0.000, 0.000], [0.000, 5.744, 0.000], [2.872, 2.872, 5.766]],
  "species": ["Rh", "Rh", "Rh", "Rh", "Mo", "Mo", "Te", "Te"],
  "fractional_positions": [[0.600, 0.125, 0.250], [0.375, 0.400, 0.750], [0.875, 0.850, 0.750], [0.150, 0.625, 0.250], [0.250, 0.750, 0.500], [0.500, 0.500, 0.000], [0.000, 0.000, 0.000], [0.750, 0.250, 0.500]],
  "crystal_system": "tetragonal",
  "vol_a3_per_atom": 23.78,
  "total_energy_ev_per_atom": -6.66,
  "spacegroup": "I-42d (122)"
}


# 5
{
  "formula": "SiHgOs2",
  "functional": "PBE",
  "state": "relaxed",
  "lattice": [[5.936, 0.067, -0.015], [3.785, 4.573, 0.015], [-4.557, -2.955, 2.396]],
  "species": ["Os", "Os", "Si", "Hg"],
  "fractional_positions": [[0.983, 0.983, 0.000], [0.695, 0.195, 0.500], [0.526, 0.526, 0.000], [0.296, 0.796, 0.500]],
  "de_polymorph_mev_per_atom": 356,
  "crystal_system": "orthorhombic",
  "vol_a3_per_atom": 16.13,
  "total_energy_ev_per_atom": -6.43,
  "spacegroup": "Imm2 (44)"
}


# 6
{
  "formula": "Mg6Si6Ni",
  "functional": "PBE",
  "state": "relaxed",
  "lattice": [[-1.602, -3.714, -3.868], [5.228, 1.998, -0.035], [2.521, -6.506, 5.204]],
  "species": ["Si", "Si", "Si", "Si", "Si", "Si", "Ni", "Mg", "Mg", "Mg", "Mg", "Mg", "Mg"],
  "fractional_positions": [[0.000, 0.000, 0.352], [0.667, 0.333, 0.000], [0.333, 0.667, 0.500], [0.000, 0.000, 0.648], [0.333, 0.667, 0.000], [0.667, 0.333, 0.500], [0.000, 0.000, 0.000], [0.500, 0.500, 0.248], [0.000, 0.500, 0.248], [0.000, 0.500, 0.752], [0.500, 0.000, 0.752], [0.500, 0.000, 0.248], [0.500, 0.500, 0.752]],
  "de_polymorph_mev_per_atom": 189,
  "crystal_system": "hexagonal",
  "vol_a3_per_atom": 18.16,
  "total_energy_ev_per_atom": -3.30,
  "spacegroup": "P6/mmm (191)"
}


# 7
{
  "formula": "AcPrAgPt",
  "functional": "PBE",
  "state": "relaxed",
  "lattice": [[4.109, 0.000, 0.000], [0.000, 4.734, 0.000], [-2.055, 0.000, 5.760]],
  "species": ["Ac", "Pr", "Pt", "Ag"],
  "fractional_positions": [[0.136, 0.000, 0.271], [0.862, 0.500, 0.724], [0.586, 0.500, 0.171], [0.417, 0.000, 0.834]],
  "de_polymorph_mev_per_atom": 0,
  "crystal_system": "orthorhombic",
  "vol_a3_per_atom": 28.01,
  "total_energy_ev_per_atom": -5.13,
  "spacegroup": "Amm2 (38)"
}


# 8
{
  "formula": "NaAcZn",
  "functional": "PBE",
  "state": "relaxed",
  "lattice": [[3.873, 0.000, 0.000], [-1.936, 3.354, 0.000], [0.000, 0.000, 7.930]],
  "species": ["Zn", "Na", "Ac"],
  "fractional_positions": [[0.667, 0.333, 0.339], [0.333, 0.667, 0.614], [0.000, 0.000, 0.046]],
  "de_polymorph_mev_per_atom": 99,
  "crystal_system": "trigonal",
  "vol_a3_per_atom": 34.34,
  "total_energy_ev_per_atom": -2.11,
  "spacegroup": "P3m1 (156)"
}


# 9
{
  "formula": "HoCu2Pd7",
  "functional": "PBE",
  "state": "relaxed",
  "lattice": [[-1.009, -1.350, 4.111], [0.823, -6.803, -2.033], [5.599, 3.627, 2.566]],
  "species": ["Pd", "Pd", "Pd", "Pd", "Pd", "Pd", "Pd", "Cu", "Cu", "Ho"],
  "fractional_positions": [[0.500, 0.696, 0.932], [0.500, 0.068, 0.304], [0.500, 0.500, 0.500], [0.000, 0.781, 0.219], [0.500, 0.932, 0.696], [0.000, 0.219, 0.781], [0.500, 0.304, 0.068], [0.500, 0.699, 0.301], [0.500, 0.301, 0.699], [0.000, 0.000, 0.000]],
  "crystal_system": "orthorhombic",
  "vol_a3_per_atom": 19.72,
  "total_energy_ev_per_atom": -4.82,
  "spacegroup": "Cmmm (65)"
}


# 10
{
  "formula": "YZrV",
  "functional": "PBE",
  "state": "relaxed",
  "lattice": [[-2.841, 0.060, 2.900], [-3.899, -4.536, -0.923], [3.093, -3.887, 3.651]],
  "species": ["V", "V", "Y", "Y", "Zr", "Zr"],
  "fractional_positions": [[0.197, 0.291, 0.585], [0.795, 0.228, 0.759], [0.083, 0.591, 0.013], [0.506, 0.761, 0.520], [0.382, 0.022, 0.006], [0.736, 0.247, 0.288]],
  "de_polymorph_mev_per_atom": 42,
  "crystal_system": "triclinic",
  "vol_a3_per_atom": 23.76,
  "total_energy_ev_per_atom": -7.82,
  "spacegroup": "P1 (1)"
}


# 11
{
  "formula": "Ru2PtBr",
  "functional": "PBE",
  "state": "relaxed",
  "lattice": [[-2.731, -1.148, -1.953], [1.481, -2.285, -0.728], [-2.575, -3.465, 5.638]],
  "species": ["Pt", "Br", "Ru", "Ru"],
  "fractional_positions": [[0.500, 0.500, 0.809], [0.000, 0.500, 0.478], [0.000, 0.000, 0.021], [0.500, 0.500, 0.192]],
  "de_polymorph_mev_per_atom": 0,
  "crystal_system": "orthorhombic",
  "vol_a3_per_atom": 17.76,
  "total_energy_ev_per_atom": -6.12,
  "spacegroup": "Pmm2 (25)"
}


# 12
{
  "formula": "Pm2NbSi3",
  "functional": "PBE",
  "state": "relaxed",
  "lattice": [[5.053, 0.000, 0.000], [0.000, 7.647, -0.230], [0.000, -2.839, 7.105]],
  "species": ["Pm", "Pm", "Pm", "Pm", "Nb", "Nb", "Si", "Si", "Si", "Si", "Si", "Si"],
  "fractional_positions": [[0.250, 0.467, 0.177], [0.750, 0.823, 0.533], [0.750, 0.533, 0.823], [0.250, 0.177, 0.467], [0.750, 0.088, 0.088], [0.250, 0.912, 0.912], [0.750, 0.391, 0.391], [0.250, 0.609, 0.609], [0.000, 0.171, 0.829], [0.500, 0.829, 0.171], [0.000, 0.829, 0.171], [0.500, 0.171, 0.829]],
  "crystal_system": "orthorhombic",
  "vol_a3_per_atom": 22.61,
  "total_energy_ev_per_atom": -6.51,
  "spacegroup": "Cmcm (63)"
}


# 13
{
  "formula": "Tl3SiPb",
  "functional": "PBE",
  "state": "relaxed",
  "lattice": [[-0.955, 0.895, -5.224], [0.575, -5.259, -1.006], [-5.269, -0.736, 0.837]],
  "species": ["Tl", "Tl", "Tl", "Si", "Pb"],
  "fractional_positions": [[0.000, 0.000, 0.500], [0.000, 0.500, 0.000], [0.500, 0.000, 0.000], [0.000, 0.000, 0.000], [0.500, 0.500, 0.500]],
  "de_polymorph_mev_per_atom": 0,
  "crystal_system": "cubic",
  "vol_a3_per_atom": 31.23,
  "total_energy_ev_per_atom": -2.83,
  "spacegroup": "Pm-3m (221)"
}


# 14
{
  "formula": "Ac12Sb3O5",
  "functional": "PBE",
  "state": "relaxed",
  "lattice": [[14.934, 0.000, 0.000], [-4.978, 14.079, 0.000], [-4.978, -7.040, 12.193]],
  "species": ["Ac", "Ac", "Ac", "Ac", "Ac", "Ac", "Ac", "Ac", "Ac", "Ac", "Ac", "Ac", "Ac", "Ac", "Ac", "Ac", "Ac", "Ac", "Ac", "Ac", "Ac", "Ac", "Ac", "Ac", "Ac", "Ac", "Ac", "Ac", "Ac", "Ac", "Ac", "Ac", "Ac", "Ac", "Ac", "Ac", "Ac", "Ac", "Ac", "Ac", "Ac", "Ac", "Ac", "Ac", "Ac", "Ac", "Ac", "Ac", "O", "O", "O", "O", "O", "O", "O", "O", "O", "O", "O", "O", "O", "O", "O", "O", "O", "O", "O", "O", "Sb", "Sb", "Sb", "Sb", "Sb", "Sb", "Sb", "Sb", "Sb", "Sb", "Sb", "Sb"],
  "fractional_positions": [[0.988, 0.389, 0.300], [0.889, 0.589, 0.901], [0.099, 0.911, 0.111], [0.901, 0.089, 0.889], [0.111, 0.700, 0.512], [0.389, 0.988, 0.800], [0.488, 0.800, 0.889], [0.512, 0.200, 0.111], [0.300, 0.889, 0.988], [0.488, 0.688, 0.099], [0.012, 0.401, 0.812], [0.411, 0.300, 0.312], [0.188, 0.089, 0.700], [0.589, 0.700, 0.688], [0.312, 0.512, 0.401], [0.688, 0.200, 0.589], [0.200, 0.512, 0.611], [0.611, 0.012, 0.200], [0.312, 0.800, 0.411], [0.800, 0.312, 0.911], [0.200, 0.688, 0.089], [0.889, 0.300, 0.488], [0.089, 0.188, 0.200], [0.099, 0.188, 0.488], [0.812, 0.911, 0.300], [0.611, 0.599, 0.911], [0.911, 0.099, 0.611], [0.911, 0.812, 0.800], [0.988, 0.599, 0.188], [0.188, 0.099, 0.988], [0.089, 0.901, 0.389], [0.411, 0.111, 0.599], [0.901, 0.812, 0.512], [0.401, 0.012, 0.312], [0.512, 0.312, 0.901], [0.111, 0.411, 0.099], [0.599, 0.611, 0.411], [0.012, 0.611, 0.700], [0.812, 0.901, 0.012], [0.800, 0.488, 0.389], [0.401, 0.389, 0.589], [0.688, 0.488, 0.599], [0.589, 0.889, 0.401], [0.389, 0.401, 0.089], [0.300, 0.411, 0.812], [0.700, 0.111, 0.012], [0.700, 0.589, 0.188], [0.599, 0.988, 0.688], [0.500, 0.000, 0.500], [0.000, 0.500, 0.500], [0.250, 0.875, 0.125], [0.500, 0.000, 0.000], [0.750, 0.625, 0.375], [0.875, 0.250, 0.625], [0.000, 0.500, 0.000], [0.125, 0.750, 0.375], [0.250, 0.375, 0.625], [0.625, 0.750, 0.875], [0.500, 0.500, 0.000], [0.125, 0.375, 0.250], [0.625, 0.875, 0.250], [0.875, 0.625, 0.750], [0.375, 0.125, 0.750], [0.000, 0.000, 0.000], [0.000, 0.000, 0.500], [0.375, 0.250, 0.125], [0.750, 0.125, 0.875], [0.500, 0.500, 0.500], [0.250, 0.125, 0.375], [0.375, 0.625, 0.250], [0.875, 0.125, 0.250], [0.125, 0.250, 0.875], [0.875, 0.750, 0.125], [0.750, 0.875, 0.625], [0.625, 0.375, 0.750], [0.250, 0.625, 0.875], [0.125, 0.875, 0.750], [0.750, 0.375, 0.125], [0.625, 0.250, 0.375], [0.375, 0.750, 0.625]],
  "crystal_system": "cubic",
  "vol_a3_per_atom": 32.05,
  "total_energy_ev_per_atom": -5.91,
  "spacegroup": "Ia-3d (230)"
}


# 15
{
  "formula": "CeSnIrAu",
  "functional": "PBE",
  "state": "relaxed",
  "lattice": [[4.925, 0.000, 0.000], [2.462, 4.265, 0.000], [2.462, 1.422, 4.021]],
  "species": ["Au", "Sn", "Ir", "Ce"],
  "fractional_positions": [[0.500, 0.500, 0.500], [0.250, 0.250, 0.250], [0.000, 0.000, 0.000], [0.750, 0.750, 0.750]],
  "crystal_system": "cubic",
  "vol_a3_per_atom": 21.11,
  "total_energy_ev_per_atom": -5.98,
  "spacegroup": "F-43m (216)"
}


# 16
{
  "formula": "RbLaTl2Cl6",
  "functional": "PBE",
  "state": "relaxed",
  "lattice": [[-2.094, 6.210, -4.590], [-4.106, -1.605, 6.676], [6.986, 0.461, 4.409]],
  "species": ["Cl", "Cl", "Cl", "Cl", "Cl", "Cl", "Tl", "Tl", "Rb", "La"],
  "fractional_positions": [[0.446, 0.107, 0.173], [0.815, 0.638, 0.702], [0.078, 0.176, 0.702], [0.080, 0.338, 0.173], [0.848, 0.741, 0.173], [0.539, 0.901, 0.702], [0.589, 0.294, 0.869], [0.575, 0.787, 0.347], [0.007, 0.503, 0.495], [0.988, 0.993, 0.967]],
  "crystal_system": "trigonal",
  "vol_a3_per_atom": 38.05,
  "total_energy_ev_per_atom": -3.95,
  "spacegroup": "R3 (146)"
}